Material: AcCuSn
Method: DFT, PBE-GGA
State: relaxed

Computed properties:
DFT formation energy (eV per formula unit): -1.56
Spin magnetization (μB per atom): 0.00

Structure (CIF):
```
data_AcCuSn
_symmetry_space_group_name_H-M 'P 3 m 1'
_symmetry_Int_Tables_number 156
_cell_length_a 4.5797
_cell_length_b 4.5797
_cell_length_c 4.5542
_cell_angle_alpha 90.00
_cell_angle_beta 90.00
_cell_angle_gamma 120.00
loop_
_symmetry_equiv_pos_as_xyz
'x,y,z'
'-y,x-y,z'
'-x+y,-x,z'
'-y,-x,z'
'-x+y,y,z'
'x,x-y,z'
loop_
_atom_site_label
_atom_site_fract_x
_atom_site_fract_y
_atom_site_fract_z
_atom_site_occupancy
Ac1 0.0000 0.0000 0.0000 1
Cu1 0.6667 0.3333 0.5026 1
Sn1 0.3333 0.6667 0.5000 1
```